Compound: RbV2Pd
Source: the Alexandria database
Functional: GGA-PBE
Structure: relaxed

Unit cell a=9.3252 b=9.3252 c=9.3252 alpha=145.10 beta=145.10 gamma=50.19
With the nearest neighbours (Å) after each atom.
Fractional coordinates of all 8 atoms:
Rb (0.3750, 0.6250, 0.7500)  8 V 3.77, 4 Pd 3.95
Rb (0.6250, 0.3750, 0.2500)  8 V 3.77, 4 Pd 3.95
V (0.0000, 0.0000, 0.0000)  2 Pd 2.53, 2 V 2.80
V (0.0000, 0.0000, 0.5000)  2 Pd 2.53, 2 V 2.80
V (0.0000, 0.5000, 0.0000)  2 Pd 2.53, 2 V 2.80
V (0.5000, 0.0000, 0.5000)  2 Pd 2.53, 2 V 2.80
Pd (0.1250, 0.8750, 0.2500)  4 V 2.53
Pd (0.8750, 0.1250, 0.7500)  4 V 2.53

Results
symmetry = I4_1/amd (141)
formation energy = 114 kJ/mol of atoms
calculated density = 3.7 g/cm³